No. 1
The following is a PBE calculation of Rb2RhO4 after structural relaxation, from Alexandria.

Results
DFT total energy in eV per atom: -5.018
Energy relative to the elements, uncorrected in meV per atom: -858
Total magnetization in μB/atom: 0.358
DOS(E_F) in states/eV/cell: 10.15
Density in g/cm³: 4.80

Cell: 4.0526 4.0526 14.2201 Å, 90.00 90.00 90.00°
Closest atoms and distances in Å follow each position.
Space group I4/mmm (No. 139)
One atom of each set of equivalent atoms:
Rb  0.0000  0.0000  0.1497 [4 per cell]  9 O 2.87-3.08
Rh  0.0000  0.0000  0.5000 [2 per cell]  6 O 1.90-2.03
O  0.0000  0.0000  0.3664 [4 per cell]  1 Rh 1.90
O  0.0000  0.5000  0.0000 [4 per cell]  2 Rh 2.03


No. 2
The following is a PBE calculation of CdTcSe after structural relaxation, from Alexandria.

Results
DFT total energy in eV per atom: -4.601
Energy relative to the elements, uncorrected in meV per atom: 321
Total magnetization in μB/atom: 0.000
DOS(E_F) in states/eV/cell: 2.08
Density in g/cm³: 8.50

Cell: 4.2455 4.2455 3.6236 Å, 90.00 90.00 120.00°
Closest atoms and distances in Å follow each position.
Space group P-6m2 (No. 187)
One atom of each set of equivalent atoms:
Cd  0.0000  0.0000  0.0000 [1 per cell]  6 Se 3.05, 6 Tc 3.05
Tc  0.3333  0.6667  0.5000 [1 per cell]  3 Se 2.45
Se  0.6667  0.3333  0.5000 [1 per cell]  3 Tc 2.45


No. 3
The following is a PBE calculation of LiCdCl3 after structural relaxation, from Alexandria.

Results
DFT total energy in eV per atom: -2.509
Energy relative to the elements, uncorrected in meV per atom: -835
Total magnetization in μB/atom: 0.000
DOS(E_F) in states/eV/cell: 0.37
Density in g/cm³: 3.60

Cell: 4.7039 4.7039 4.7039 Å, 90.00 90.00 90.00°
Closest atoms and distances in Å follow each position.
Space group Pm-3m (No. 221)
One atom of each set of equivalent atoms:
Li  0.0000  0.0000  0.0000 [1 per cell]  6 Cl 2.35
Cd  0.5000  0.5000  0.5000 [1 per cell]  12 Cl 3.33
Cl  0.0000  0.0000  0.5000 [3 per cell]  2 Li 2.35


No. 4
The following is a PBE calculation of CaInGe2Au after structural relaxation, from Alexandria.

Results
DFT total energy in eV per atom: -2.744
Total magnetization in μB/atom: 0.000
Formation energy from the elements in eV per atom: 0.706
DOS(E_F) in states/eV/cell: 3.32
Density in g/cm³: 5.07

Cell: 5.5043 5.5043 5.3716 Å, 90.00 90.00 90.00°
Closest atoms and distances in Å follow each position.
Space group P4/mmm (No. 123)
One atom of each set of equivalent atoms:
Ca  0.0000  0.0000  0.0000 [1 per cell]  2 Au 2.69, 4 Ge 2.75
In  0.5000  0.5000  0.5000 [1 per cell]  8 Ge 3.85, 4 Au 3.89
Ge  0.0000  0.5000  0.0000 [2 per cell]  2 Ca 2.75
Au  0.0000  0.0000  0.5000 [1 per cell]  2 Ca 2.69


No. 5
The following is a PBE calculation of FePHAuC after structural relaxation, from Alexandria.

Results
DFT total energy in eV per atom: -5.543
Total magnetization in μB/atom: 0.189
DOS(E_F) in states/eV/cell: 2.09
Density in g/cm³: 8.13

Cell: 2.9217 4.1214 5.5877 Å, 104.83 90.06 110.57°
Closest atoms and distances in Å follow each position.
Space group P1 (No. 1)
One atom of each set of equivalent atoms:
Fe  0.0000  0.0000  0.0000 [1 per cell]  2 C 1.92
P  0.3144  0.6255  0.1086 [1 per cell]  1 C 2.09, 3 Fe 2.25-2.32
H  0.2587  0.5176  0.6560 [1 per cell]  1 C 1.12
Au  0.9696  0.9517  0.4903 [1 per cell]  1 H 2.13
C  0.3989  0.7965  0.7842 [1 per cell]  1 H 1.12


No. 6
The following is a PBE calculation of FePOsSe2 after structural relaxation, from Alexandria.

Results
DFT total energy in eV per atom: -5.125
Energy relative to the elements, uncorrected in meV per atom: 1289
Total magnetization in μB/atom: 0.262
DOS(E_F) in states/eV/cell: 5.05
Density in g/cm³: 7.75

Cell: 4.5026 4.5026 4.5991 Å, 90.00 90.00 90.00°
Closest atoms and distances in Å follow each position.
Space group P4/mmm (No. 123)
One atom of each set of equivalent atoms:
Fe  0.0000  0.0000  0.0000 [1 per cell]  4 Se 2.25, 2 Os 2.30
P  0.5000  0.5000  0.5000 [1 per cell]  4 Os 3.18, 8 Se 3.22
Os  0.0000  0.0000  0.5000 [1 per cell]  2 Fe 2.30
Se  0.0000  0.5000  0.0000 [2 per cell]  2 Fe 2.25


No. 7
The following is a PBE calculation of Hf4Sn2C after structural relaxation, from Alexandria.

Results
DFT total energy in eV per atom: -8.643
Total magnetization in μB/atom: 0.000
Formation energy from the elements in eV per atom: -0.494
DOS(E_F) in states/eV/cell: 10.18
Density in g/cm³: 11.31

Cell: 7.7571 10.8032 3.3765 Å, 90.00 90.00 90.00°
Closest atoms and distances in Å follow each position.
Space group Pbam (No. 55)
One atom of each set of equivalent atoms:
Hf  0.1309  0.1840  0.0000 [4 per cell]  1 C 2.23
Hf  0.1727  0.9308  0.5000 [4 per cell]  2 C 2.28
Sn  0.0594  0.6386  0.5000 [4 per cell]  7 Hf 2.95-3.28, 1 Sn 3.13
C  0.0000  0.0000  0.0000 [2 per cell]  6 Hf 2.23-2.28


No. 8
The following is a PBE calculation of Sb2PtBr after structural relaxation, from Alexandria.

Results
DFT total energy in eV per atom: -4.364
Energy relative to the elements, uncorrected in meV per atom: -374
Total magnetization in μB/atom: 0.000
DOS(E_F) in states/eV/cell: 5.42
Density in g/cm³: 7.96

Cell: 4.1588 4.1588 21.6585 Å, 90.00 90.00 120.00°
Closest atoms and distances in Å follow each position.
Space group R-3m (No. 166, hexagonal axes)
One atom of each set of equivalent atoms:
Sb  0.0000  0.0000  0.2242 [6 per cell]  3 Pt 2.70
Pt  0.0000  0.0000  0.5000 [3 per cell]  6 Sb 2.70
Br  0.0000  0.0000  0.0000 [3 per cell]  6 Sb 3.37